1.
# ScHgMo4

A relaxed structure of ScHgMo4 (PBE, the Alexandria database).

Calculated values
Energy of formation ... 0.259 eV/atom
M_tot ... 0.00 μB/cell

a = 5.348 Å, b = 5.348 Å, c = 5.348 Å
α = 60.00°, β = 60.00°, γ = 60.00°
Positions (direct):
Sc 0.750 0.750 0.750
Hg 0.000 0.000 0.000
Mo 0.877 0.374 0.374
Mo 0.374 0.374 0.877
Mo 0.374 0.877 0.374
Mo 0.374 0.374 0.374

***

2.
# ScHgMo3

A relaxed structure of ScHgMo3 (PBE, the Alexandria database).

Calculated values
Energy of formation ... 1.857 eV/atom
M_tot ... 0.00 μB/cell
Excess energy over the best structure of this formula in the dataset ... 0 meV per atom

a = 4.647 Å, b = 4.647 Å, c = 4.647 Å
α = 90.00°, β = 90.00°, γ = 90.00°
Positions (direct):
Sc 0.000 0.000 0.000
Mo 0.000 0.500 0.000
Mo 0.000 0.000 0.500
Mo 0.500 0.000 0.000
Hg 0.500 0.500 0.500